PrHoB2Ir2N2 GGA-PBE optimized geometry; V = 13.46 Å³ per atom; space-group type = P4mm (99); total magnetic moment = 0.00 μB per cell; final energy = -8.234 eV per atom
1.0
3.783 0.000 0.000
0.000 3.783 0.000
0.000 0.000 7.523
Pr Ho B Ir N
1 1 2 2 2
direct
0.000 0.000 0.000
0.500 0.500 0.329
0.000 0.000 0.514
0.500 0.500 0.820
0.000 0.500 0.663
0.500 0.000 0.663
0.000 0.000 0.317
0.500 0.500 0.021